Compound: KLaSc2
Source: the Alexandria database
Functional: PBE
Structure: optimized geometry

Computed properties:
**Uncorrected energy**: -4.0356 eV/atom
**Excess energy over the best structure of this formula in the dataset**: 1.42 eV per formula unit
**Formation enthalpy at 0 K**: 0.636 eV per atom

Lattice parameters (Å, degrees): 5.3160 5.0081 5.0081 90.00 90.00 90.00
Element x y z (fractional)
K 0.5000 0.5000 0.0000
La 0.5000 0.0000 0.5000
Sc 0.0000 0.0000 0.0000
Sc 0.0000 0.5000 0.5000



Compound: KLaSc2
Source: the Alexandria database
Functional: PBE
Structure: optimized geometry

Computed properties:
**Uncorrected energy**: -4.0423 eV/atom
**Excess energy over the best structure of this formula in the dataset**: 1.39 eV per formula unit
**Formation enthalpy at 0 K**: 0.630 eV per atom

Lattice parameters (Å, degrees): 6.3719 6.3719 6.3719 133.47 133.47 67.91
Element x y z (fractional)
K 0.2500 0.7500 0.5000
La 0.7500 0.2500 0.5000
Sc 0.0000 0.0000 0.0000
Sc 0.5000 0.5000 0.0000



Compound: KLaSc2
Source: the Alexandria database
Functional: PBE
Structure: optimized geometry

Computed properties:
**Uncorrected energy**: -4.0329 eV/atom
**Excess energy over the best structure of this formula in the dataset**: 1.43 eV per formula unit
**Formation enthalpy at 0 K**: 0.639 eV per atom

Lattice parameters (Å, degrees): 5.7262 5.7262 5.7262 60.00 60.00 60.00
Element x y z (fractional)
Sc 0.2500 0.2500 0.2500
Sc 0.7500 0.7500 0.7500
K 0.0000 0.0000 0.0000
La 0.5000 0.5000 0.5000



Compound: KLaSc2
Source: the Alexandria database
Functional: PBE
Structure: optimized geometry

Computed properties:
**Uncorrected energy**: -4.2945 eV/atom
**Excess energy over the best structure of this formula in the dataset**: 0.38 eV per formula unit
**Formation enthalpy at 0 K**: 0.378 eV per atom

Lattice parameters (Å, degrees): 12.8088 12.8088 12.8088 15.62 15.62 15.62
Element x y z (fractional)
Sc 0.9055 0.9055 0.9055
Sc 0.0945 0.0945 0.0945
K 0.0000 0.0000 0.0000
La 0.5000 0.5000 0.5000



Compound: KLa3Sc
Source: the Alexandria database
Functional: PBE
Structure: optimized geometry

Computed properties:
**Uncorrected energy**: -3.3703 eV/atom
**Excess energy over the best structure of this formula in the dataset**: 2.75 eV per formula unit
**Formation enthalpy at 0 K**: 1.072 eV per atom

Lattice parameters (Å, degrees): 5.6794 5.6794 5.6794 90.00 90.00 90.00
Element x y z (fractional)
Sc 0.5000 0.5000 0.5000
K 0.0000 0.0000 0.0000
La 0.0000 0.5000 0.0000
La 0.0000 0.0000 0.5000
La 0.5000 0.0000 0.0000



Compound: KLa3Sc
Source: the Alexandria database
Functional: PBE
Structure: optimized geometry

Computed properties:
**Uncorrected energy**: -3.9201 eV/atom
**Excess energy over the best structure of this formula in the dataset**: 0.00 eV per formula unit
**Formation enthalpy at 0 K**: 0.522 eV per atom

Lattice parameters (Å, degrees): 6.0205 6.0205 6.0205 90.00 90.00 90.00
Element x y z (fractional)
Sc 0.0000 0.0000 0.0000
K 0.5000 0.5000 0.5000
La 0.0000 0.5000 0.0000
La 0.0000 0.0000 0.5000
La 0.5000 0.0000 0.0000



Compound: KLaSc2
Source: the Alexandria database
Functional: PBE
Structure: optimized geometry

Computed properties:
**Uncorrected energy**: -4.2526 eV/atom
**Excess energy over the best structure of this formula in the dataset**: 0.55 eV per formula unit
**Formation enthalpy at 0 K**: 0.419 eV per atom

Lattice parameters (Å, degrees): 3.4093 3.4093 12.6733 90.00 90.00 115.94
Element x y z (fractional)
K 0.5000 0.5000 0.2500
La 0.5000 0.5000 0.7500
Sc 0.0000 0.0000 0.9759
Sc 0.0000 0.0000 0.5241



Compound: KLaSc2
Source: the Alexandria database
Functional: PBE
Structure: optimized geometry

Computed properties:
**Uncorrected energy**: -4.1896 eV/atom
**Excess energy over the best structure of this formula in the dataset**: 0.80 eV per formula unit
**Formation enthalpy at 0 K**: 0.482 eV per atom

Lattice parameters (Å, degrees): 5.9362 5.9362 7.5957 84.61 84.61 33.20
Element x y z (fractional)
K 0.7500 0.7500 0.7500
La 0.2500 0.2500 0.2500
Sc 0.9886 0.9886 0.0777
Sc 0.5114 0.5114 0.4223



Compound: KLaSc2
Source: the Alexandria database
Functional: PBE
Structure: optimized geometry

Computed properties:
**Uncorrected energy**: -4.3905 eV/atom
**Excess energy over the best structure of this formula in the dataset**: 0.00 eV per formula unit
**Formation enthalpy at 0 K**: 0.281 eV per atom

Lattice parameters (Å, degrees): 3.7918 3.7908 10.8723 69.63 90.00 90.00
Element x y z (fractional)
K 0.0000 0.5231 0.4774
La 0.5000 0.6766 0.8227
Sc 0.0000 0.9785 0.0213
Sc 0.5000 0.3218 0.1786



Compound: KLaSc2
Source: the Alexandria database
Functional: PBE
Structure: optimized geometry

Computed properties:
**Uncorrected energy**: -4.2241 eV/atom
**Excess energy over the best structure of this formula in the dataset**: 0.67 eV per formula unit
**Formation enthalpy at 0 K**: 0.448 eV per atom

Lattice parameters (Å, degrees): 5.7851 5.7851 7.6179 85.63 85.63 34.14
Element x y z (fractional)
K 0.4978 0.4978 0.5104
La 0.2571 0.2571 0.1840
Sc 0.0032 0.0032 0.9845
Sc 0.7419 0.7419 0.8211



Compound: KLaSc
Source: the Alexandria database
Functional: PBE
Structure: optimized geometry

Computed properties:
**Uncorrected energy**: -3.7724 eV/atom
**Excess energy over the best structure of this formula in the dataset**: 0.08 eV per formula unit
**Formation enthalpy at 0 K**: 0.346 eV per atom

Lattice parameters (Å, degrees): 9.4087 9.4087 9.4087 158.00 158.00 31.31
Element x y z (fractional)
K 0.0064 0.0064 0.0000
La 0.3091 0.3091 0.0000
Sc 0.6845 0.6845 0.0000



Compound: KLaSc2
Source: the Alexandria database
Functional: PBE
Structure: optimized geometry

Computed properties:
**Uncorrected energy**: -4.1684 eV/atom
**Excess energy over the best structure of this formula in the dataset**: 0.89 eV per formula unit
**Formation enthalpy at 0 K**: 0.504 eV per atom

Lattice parameters (Å, degrees): 7.0638 7.0638 7.0638 150.34 128.74 60.35
Element x y z (fractional)
K 0.5139 0.5139 0.0000
La 0.2319 0.7319 0.5000
Sc 0.9807 0.9807 0.0000
Sc 0.7734 0.2734 0.5000



Compound: KLaSc
Source: the Alexandria database
Functional: PBE
Structure: optimized geometry

Computed properties:
**Uncorrected energy**: -3.7509 eV/atom
**Excess energy over the best structure of this formula in the dataset**: 0.14 eV per formula unit
**Formation enthalpy at 0 K**: 0.368 eV per atom

Lattice parameters (Å, degrees): 10.2567 10.0267 3.5365 83.65 76.31 20.04
Element x y z (fractional)
K 0.0060 0.0060 0.9940
La 0.3121 0.3121 0.6879
Sc 0.6819 0.6819 0.3181



Compound: KLaSc2
Source: the Alexandria database
Functional: PBE
Structure: optimized geometry

Computed properties:
**Uncorrected energy**: -4.1327 eV/atom
**Excess energy over the best structure of this formula in the dataset**: 1.03 eV per formula unit
**Formation enthalpy at 0 K**: 0.539 eV per atom

Lattice parameters (Å, degrees): 6.9770 6.9770 6.9770 150.37 128.81 60.27
Element x y z (fractional)
K 0.7500 0.2500 0.5000
La 0.2500 0.7500 0.5000
Sc 0.0138 0.0138 0.0000
Sc 0.4862 0.4862 0.0000



Compound: KLaSc2
Source: the Alexandria database
Functional: PBE
Structure: optimized geometry

Computed properties:
**Uncorrected energy**: -4.3006 eV/atom
**Excess energy over the best structure of this formula in the dataset**: 0.36 eV per formula unit
**Formation enthalpy at 0 K**: 0.371 eV per atom

Lattice parameters (Å, degrees): 3.5370 3.5370 11.1100 90.00 90.00 90.00
Element x y z (fractional)
K 0.5000 0.5000 0.2500
La 0.5000 0.5000 0.7500
Sc 0.0000 0.0000 0.9558
Sc 0.0000 0.0000 0.5442